[1]
CaBiAu2: relaxed, PBE.

Unit cell a=3.512 b=5.833 c=5.833 alpha=58.43 beta=90.00 gamma=90.00
Sites, in units of the cell vectors:
Ca 0.000 0.052 0.948
Bi 0.500 0.552 0.448
Au 0.500 0.556 0.946
Au 0.500 0.054 0.444

Summary:
crystal system = orthorhombic
energy = -3.511 eV per atom
ΔH_f (0 K) = -402 meV/atom

[2]
BeBrCl: relaxed, PBE.

Unit cell a=4.411 b=4.411 c=4.411 alpha=60.00 beta=60.00 gamma=60.00
Sites, in units of the cell vectors:
Be 0.250 0.250 0.250
Br 0.000 0.000 0.000
Cl 0.500 0.500 0.500

Summary:
crystal system = cubic
E_form (uncorrected) = -32 kJ/mol of formula units
energy = -2.525 eV per atom
energy above the most stable polymorph in this dataset = 1048 meV/atom